The following is a DFT calculation (PBE) of a relaxed structure of PmYHo2Tm6.

```
data_PmYHo2Tm6
_chemical_formula_sum 'Pm4 Y4 Ho8 Tm24'
_cell_length_a 8.971
_cell_length_b 14.933
_cell_length_c 9.444
_cell_angle_alpha 90.00
_cell_angle_beta 97.10
_cell_angle_gamma 90.00
_space_group_name_H-M_alt 'C 1 2/c 1'
_space_group_IT_number 15
loop_
_space_group_symop_operation_xyz
'x,y,z'
'-x,-y,-z'
'-x,y,-z+1/2'
'x,-y,z+1/2'
'x+1/2,y+1/2,z'
'-x+1/2,-y+1/2,-z'
'-x+1/2,y+1/2,-z+1/2'
'x+1/2,-y+1/2,z+1/2'
loop_
_atom_site_label
_atom_site_type_symbol
_atom_site_fract_x
_atom_site_fract_y
_atom_site_fract_z
Pm1 Pm 0.000 0.025 0.250
Y1 Y 0.000 0.409 0.750
Ho1 Ho 0.249 0.446 0.454
Tm1 Tm 0.063 0.187 0.942
Tm2 Tm 0.101 0.391 0.118
Tm3 Tm 0.205 0.227 0.318
```

Summary:
ΔH_f (0 K): 0.12 eV/atom

=====

The following is a DFT calculation (PBE) of a relaxed structure of Na3IrBr.

```
data_Na3IrBr
_chemical_formula_sum 'Na3 Ir1 Br1'
_cell_length_a 5.573
_cell_length_b 5.573
_cell_length_c 5.573
_cell_angle_alpha 90.00
_cell_angle_beta 90.00
_cell_angle_gamma 90.00
_space_group_name_H-M_alt 'P m -3 m'
_space_group_IT_number 221
_space_group_name_Hall '-P 4 2 3'
loop_
_atom_site_label
_atom_site_type_symbol
_atom_site_fract_x
_atom_site_fract_y
_atom_site_fract_z
Na1 Na 0.000 0.000 0.500
Ir1 Ir 0.000 0.000 0.000
Br1 Br 0.500 0.500 0.500
```

Summary:
formation energy from raw total energies: 0.250 eV per atom
E above lowest polymorph: 0 meV per atom

=====

The following is a DFT calculation (PBE) of a relaxed structure of Ac4CoPt2.

```
data_Ac4CoPt2
_chemical_formula_sum 'Ac8 Co2 Pt4'
_cell_length_a 5.310
_cell_length_b 5.310
_cell_length_c 15.654
_cell_angle_alpha 90.00
_cell_angle_beta 90.00
_cell_angle_gamma 90.00
_space_group_name_H-M_alt 'I 4/m m m'
_space_group_IT_number 139
_space_group_name_Hall '-I 4 2'
loop_
_atom_site_label
_atom_site_type_symbol
_atom_site_fract_x
_atom_site_fract_y
_atom_site_fract_z
Ac1 Ac 0.000 0.000 0.187
Ac2 Ac 0.000 0.500 0.000
Co1 Co 0.000 0.000 0.000
Pt1 Pt 0.000 0.000 0.370
```

Summary:
ΔH_f (0 K): -0.47 eV/atom
E above lowest polymorph: 182 meV per atom